Density functional theory data (GGA-PBE) for crystalline Na2Fe2Pb at its relaxed geometry.

Summary:
Space group: No. 127
DFT formation energy, eV per atom: 0.52
Relative energy among the computed polymorphs, meV per atom: 0
VASP energy, eV for the cell shown: -41.33

Unit cell a=6.6654 b=6.6654 c=5.0976 alpha=90.00 beta=90.00 gamma=90.00
Site moments in Bohr magnetons follow the coordinates.
Sites, in units of the cell vectors:
Pb (0.0000, 0.0000, 0.0000)  -0.12
Pb (0.5000, 0.5000, 0.0000)  -0.12
Na (0.1774, 0.6774, 0.5000)  -0.01
Na (0.6774, 0.8226, 0.5000)  -0.01
Na (0.8226, 0.3226, 0.5000)  -0.01
Na (0.3226, 0.1774, 0.5000)  -0.01
Fe (0.3874, 0.8874, 0.0000)  2.50
Fe (0.8874, 0.6126, 0.0000)  2.48
Fe (0.6126, 0.1126, 0.0000)  2.50
Fe (0.1126, 0.3874, 0.0000)  2.48